Version one
A plane-wave DFT calculation with PBEsol was carried out for a relaxed Na2H2Pd crystal.

Calculated values
Its crystal system is tetragonal.

abc: 5.049 5.049 5.049
angles: 133.36 133.36 68.09
Sites, in units of the cell vectors:
Na: 0.158 0.158 0.000
Na: 0.842 0.842 0.000
H: 0.250 0.750 0.500
H: 0.750 0.250 0.500
Pd: 0.500 0.500 0.000

Version two
A plane-wave DFT calculation with PBEsol was carried out for a relaxed Na2H2Pd crystal.

Calculated values
Its crystal system is tetragonal.

abc: 6.124 6.124 6.124
angles: 146.85 146.85 47.58
Sites, in units of the cell vectors:
Na: 0.141 0.141 0.000
Na: 0.859 0.859 0.000
H: 0.350 0.350 0.000
H: 0.650 0.650 0.000
Pd: 0.500 0.500 0.000

Which of them is most stable, and which least? Most stable: version two; least stable: version one.

Version one
A plane-wave DFT calculation with PBEsol was carried out for a relaxed RbNa2H crystal.

Calculated values
Its crystal system is cubic.

abc: 5.816 5.816 5.816
angles: 60.00 60.00 60.00
Sites, in units of the cell vectors:
Rb: 0.000 0.000 0.000
Na: 0.250 0.250 0.250
Na: 0.750 0.750 0.750
H: 0.500 0.500 0.500

Version two
A plane-wave DFT calculation with PBEsol was carried out for a relaxed RbNa2H crystal.

Calculated values
Its crystal system is cubic.

abc: 7.500 7.500 7.500
angles: 60.00 60.00 60.00
Sites, in units of the cell vectors:
Rb: 0.125 0.125 0.125
Rb: 0.875 0.875 0.875
Na: 0.000 0.500 0.500
Na: 0.500 0.000 0.500
Na: 0.500 0.500 0.000
Na: 0.500 0.500 0.500
H: 0.375 0.375 0.375
H: 0.625 0.625 0.625

Which of them is most stable, and which least? Most stable: version two; least stable: version one.

Version one
A plane-wave DFT calculation with PBEsol was carried out for a relaxed NaTeH2 crystal.

Calculated values
Its crystal system is cubic.

abc: 4.258 4.258 4.258
angles: 60.00 60.00 60.00
Sites, in units of the cell vectors:
Na: 0.000 0.000 0.000
Te: 0.500 0.500 0.500
H: 0.250 0.250 0.250
H: 0.750 0.750 0.750

Version two
A plane-wave DFT calculation with PBEsol was carried out for a relaxed NaTeH2 crystal.

Calculated values
Its crystal system is tetragonal.

abc: 7.982 7.982 7.982
angles: 148.43 148.43 45.26
Sites, in units of the cell vectors:
Na: 0.375 0.625 0.750
Na: 0.625 0.375 0.250
Te: 0.125 0.875 0.250
Te: 0.875 0.125 0.750
H: 0.000 0.000 0.000
H: 0.000 0.000 0.500
H: 0.000 0.500 0.000
H: 0.500 0.000 0.500

Which of them is most stable, and which least? Most stable: version two; least stable: version one.

Version one
A plane-wave DFT calculation with PBEsol was carried out for a relaxed TiPHO5 crystal.

Calculated values
Its crystal system is monoclinic.

abc: 7.392 7.002 7.450
angles: 90.00 117.40 90.00
Sites, in units of the cell vectors:
Ti: 0.220 0.000 0.477
Ti: 0.221 0.495 0.972
Ti: 0.779 0.995 0.028
Ti: 0.780 0.500 0.523
P: 0.002 0.889 0.752
P: 0.499 0.627 0.748
P: 0.501 0.127 0.252
P: 0.998 0.389 0.248
H: 0.427 0.707 0.317
H: 0.452 0.246 0.801
H: 0.548 0.746 0.199
H: 0.573 0.207 0.683
O: 0.001 0.423 0.747
O: 0.095 0.514 0.146
O: 0.099 0.020 0.654
O: 0.165 0.265 0.411
O: 0.171 0.762 0.911
O: 0.334 0.754 0.587
O: 0.338 0.254 0.088
O: 0.407 0.000 0.356
O: 0.409 0.490 0.849
O: 0.497 0.637 0.251
O: 0.503 0.137 0.749
O: 0.591 0.990 0.151
O: 0.593 0.500 0.644
O: 0.662 0.754 0.912
O: 0.666 0.254 0.413
O: 0.829 0.262 0.089
O: 0.835 0.765 0.589
O: 0.901 0.520 0.346
O: 0.905 0.014 0.854
O: 0.999 0.923 0.253

Version two
A plane-wave DFT calculation with PBEsol was carried out for a relaxed TiPHO5 crystal.

Calculated values
Its crystal system is triclinic.

abc: 5.210 5.235 7.357
angles: 108.89 105.20 99.44
Sites, in units of the cell vectors:
Ti: 0.000 0.000 0.000
Ti: 0.000 0.000 0.500
P: 0.332 0.667 0.231
P: 0.668 0.333 0.769
H: 0.017 0.661 0.682
H: 0.983 0.339 0.318
O: 0.050 0.870 0.728
O: 0.129 0.689 0.356
O: 0.260 0.358 0.088
O: 0.294 0.853 0.108
O: 0.369 0.241 0.623
O: 0.631 0.759 0.377
O: 0.706 0.147 0.892
O: 0.740 0.642 0.912
O: 0.871 0.311 0.644
O: 0.950 0.130 0.272

Which of them is most stable, and which least? Most stable: version one; least stable: version two.

Version one
A plane-wave DFT calculation with PBEsol was carried out for a relaxed TlPHO2 crystal.

Calculated values
Its crystal system is tetragonal.

abc: 4.080 4.080 5.629
angles: 90.00 90.00 90.00
Sites, in units of the cell vectors:
Tl: 0.000 0.000 0.000
P: 0.000 0.000 0.500
H: 0.500 0.500 0.500
O: 0.000 0.500 0.000
O: 0.500 0.000 0.000

Version two
A plane-wave DFT calculation with PBEsol was carried out for a relaxed TlPHO2 crystal.

Calculated values
Its crystal system is tetragonal.

abc: 4.225 4.225 3.058
angles: 90.00 90.00 90.00
Sites, in units of the cell vectors:
Tl: 0.000 0.000 0.000
P: 0.500 0.500 0.000
H: 0.500 0.500 0.500
O: 0.000 0.500 0.500
O: 0.500 0.000 0.500

Which of them is most stable, and which least? Most stable: version two; least stable: version one.

Version one
A plane-wave DFT calculation with PBEsol was carried out for a relaxed Zn2PHO5 crystal.

Calculated values
Its crystal system is triclinic.

abc: 5.512 5.674 6.505
angles: 77.27 77.60 87.34
Sites, in units of the cell vectors:
Zn: 0.030 0.238 0.311
Zn: 0.387 0.748 0.007
Zn: 0.613 0.252 0.993
Zn: 0.970 0.762 0.689
P: 0.164 0.251 0.776
P: 0.836 0.749 0.224
H: 0.446 0.408 0.321
H: 0.554 0.592 0.679
O: 0.029 0.748 0.011
O: 0.054 0.114 0.634
O: 0.229 0.512 0.651
O: 0.363 0.390 0.205
O: 0.403 0.118 0.832
O: 0.597 0.882 0.168
O: 0.637 0.610 0.795
O: 0.771 0.488 0.349
O: 0.946 0.886 0.366
O: 0.971 0.252 0.989

Version two
A plane-wave DFT calculation with PBEsol was carried out for a relaxed Zn2PHO5 crystal.

Calculated values
Its crystal system is orthorhombic.

abc: 8.069 8.285 5.982
angles: 90.00 90.00 90.00
Sites, in units of the cell vectors:
Zn: 0.000 0.000 0.247
Zn: 0.000 0.000 0.753
Zn: 0.137 0.364 0.000
Zn: 0.363 0.864 0.500
Zn: 0.500 0.500 0.253
Zn: 0.500 0.500 0.747
Zn: 0.637 0.136 0.500
Zn: 0.863 0.636 0.000
P: 0.250 0.241 0.500
P: 0.250 0.741 0.000
P: 0.750 0.259 0.000
P: 0.750 0.759 0.500
H: 0.227 0.076 0.000
H: 0.273 0.576 0.500
H: 0.727 0.424 0.500
H: 0.773 0.924 0.000
O: 0.081 0.149 0.500
O: 0.113 0.609 0.000
O: 0.116 0.125 0.000
O: 0.233 0.851 0.209
O: 0.233 0.851 0.791
O: 0.267 0.351 0.291
O: 0.267 0.351 0.709
O: 0.384 0.625 0.500
O: 0.387 0.109 0.500
O: 0.419 0.649 0.000
O: 0.581 0.351 0.000
O: 0.613 0.891 0.500
O: 0.616 0.375 0.500
O: 0.733 0.649 0.291
O: 0.733 0.649 0.709
O: 0.767 0.149 0.209
O: 0.767 0.149 0.791
O: 0.884 0.875 0.000
O: 0.887 0.391 0.000
O: 0.919 0.851 0.500

Which of them is most stable, and which least? Most stable: version one; least stable: version two.

Version one
A plane-wave DFT calculation with PBEsol was carried out for a relaxed Rb3HS2O8 crystal.

Calculated values
Its crystal system is monoclinic.

abc: 11.483 11.483 8.292
angles: 109.69 109.69 60.56
Sites, in units of the cell vectors:
Rb: 0.140 0.663 0.408
Rb: 0.143 0.143 0.928
Rb: 0.227 0.773 0.000
Rb: 0.236 0.236 0.479
Rb: 0.337 0.860 0.592
Rb: 0.360 0.360 0.120
Rb: 0.640 0.640 0.880
Rb: 0.663 0.140 0.408
Rb: 0.764 0.764 0.521
Rb: 0.773 0.227 0.000
Rb: 0.857 0.857 0.072
Rb: 0.860 0.337 0.592
H: 0.241 0.482 0.740
H: 0.482 0.241 0.740
H: 0.518 0.759 0.260
H: 0.759 0.518 0.260
S: 0.044 0.044 0.319
S: 0.066 0.526 0.835
S: 0.446 0.446 0.665
S: 0.474 0.934 0.165
S: 0.526 0.066 0.835
S: 0.554 0.554 0.335
S: 0.934 0.474 0.165
S: 0.956 0.956 0.681
O: 0.081 0.081 0.192
O: 0.081 0.404 0.231
O: 0.102 0.102 0.501
O: 0.103 0.893 0.292
O: 0.107 0.897 0.708
O: 0.113 0.594 0.012
O: 0.115 0.379 0.817
O: 0.135 0.540 0.709
O: 0.379 0.115 0.817
O: 0.385 0.597 0.713
O: 0.396 0.396 0.478
O: 0.396 0.396 0.770
O: 0.403 0.615 0.287
O: 0.404 0.081 0.231
O: 0.406 0.887 0.988
O: 0.460 0.865 0.291
O: 0.540 0.135 0.709
O: 0.594 0.113 0.012
O: 0.596 0.919 0.769
O: 0.597 0.385 0.713
O: 0.604 0.604 0.230
O: 0.604 0.604 0.522
O: 0.615 0.403 0.287
O: 0.621 0.885 0.183
O: 0.865 0.460 0.291
O: 0.885 0.621 0.183
O: 0.887 0.406 0.988
O: 0.893 0.103 0.292
O: 0.897 0.107 0.708
O: 0.898 0.898 0.499
O: 0.919 0.596 0.769
O: 0.919 0.919 0.808

Version two
A plane-wave DFT calculation with PBEsol was carried out for a relaxed Rb3HS2O8 crystal.

Calculated values
Its crystal system is monoclinic.

abc: 8.127 8.127 10.072
angles: 102.03 102.03 42.56
Sites, in units of the cell vectors:
Rb: 0.057 0.563 0.097
Rb: 0.222 0.778 0.500
Rb: 0.395 0.844 0.195
Rb: 0.563 0.057 0.597
Rb: 0.778 0.222 0.000
Rb: 0.844 0.395 0.695
H: 0.289 0.328 0.353
H: 0.328 0.289 0.853
S: 0.207 0.641 0.812
S: 0.412 0.971 0.882
S: 0.641 0.207 0.312
S: 0.971 0.412 0.382
O: 0.005 0.868 0.744
O: 0.115 0.479 0.405
O: 0.132 0.180 0.443
O: 0.149 0.495 0.792
O: 0.180 0.132 0.943
O: 0.232 0.692 0.961
O: 0.388 0.925 0.734
O: 0.440 0.485 0.752
O: 0.479 0.115 0.905
O: 0.485 0.440 0.252
O: 0.495 0.149 0.292
O: 0.616 0.747 0.951
O: 0.692 0.232 0.461
O: 0.747 0.616 0.451
O: 0.868 0.005 0.244
O: 0.925 0.388 0.234

Which of them is most stable, and which least? Most stable: version two; least stable: version one.